(1)
A relaxed structure of Gd3CuSnSe7, computed with PBE.

a = 10.3594 Å, b = 10.3594 Å, c = 6.4885 Å
α = 90.00°, β = 90.00°, γ = 120.00°
Last column: nearest neighbours and their distance in Å.
Sites, in units of the cell vectors:
Gd: 0.1474 0.7899 0.0000  6 Se 2.88-3.06
Gd: 0.2101 0.3575 0.0000  6 Se 2.88-3.06
Gd: 0.3575 0.1474 0.5000  6 Se 2.88-3.06
Gd: 0.6425 0.8526 0.0000  6 Se 2.88-3.06
Gd: 0.7899 0.6425 0.5000  6 Se 2.88-3.06
Gd: 0.8526 0.2101 0.5000  6 Se 2.88-3.06
Cu: 0.0000 0.0000 0.0892  3 Se 2.36
Cu: 0.0000 0.0000 0.5892  3 Se 2.36
Sn: 0.3333 0.6667 0.4267  4 Se 2.55-2.57
Sn: 0.6667 0.3333 0.9267  4 Se 2.55-2.57
Se: 0.0796 0.5167 0.2478  1 Sn 2.57
Se: 0.1123 0.8502 0.5656  1 Cu 2.36
Se: 0.1498 0.2620 0.5656  1 Cu 2.36
Se: 0.2620 0.1123 0.0656  1 Cu 2.36
Se: 0.3333 0.6667 0.8195  1 Sn 2.55
Se: 0.4371 0.9204 0.2478  1 Sn 2.57
Se: 0.4833 0.5629 0.2478  1 Sn 2.57
Se: 0.5167 0.4371 0.7478  1 Sn 2.57
Se: 0.5629 0.0796 0.7478  1 Sn 2.57
Se: 0.6667 0.3333 0.3195  1 Sn 2.55
Se: 0.7380 0.8877 0.5656  1 Cu 2.36
Se: 0.8502 0.7380 0.0656  1 Cu 2.36
Se: 0.8877 0.1498 0.0656  1 Cu 2.36
Se: 0.9204 0.4833 0.7478  1 Sn 2.57

Summary:
- Density: 6.646 g cm⁻³
- Size of the total moment: 1.75 μB/atom
- Uncorrected formation energy: -1.295 eV per atom



(2)
A relaxed structure of DyBePt2, computed with PBE.

a = 4.6801 Å, b = 4.6801 Å, c = 3.3924 Å
α = 90.00°, β = 90.00°, γ = 110.66°
Last column: nearest neighbours and their distance in Å.
Sites, in units of the cell vectors:
Dy: 0.0000 0.0000 0.0000  2 Be 2.66, 4 Pt 2.95
Be: 0.5000 0.5000 0.0000  4 Pt 2.22
Pt: 0.3142 0.6858 0.5000  2 Be 2.22
Pt: 0.6858 0.3142 0.5000  2 Be 2.22

Summary:
- Energy above the most stable polymorph in this dataset: 30.3 kJ/mol of atoms
- Density: 13.415 g cm⁻³
- D(E_F): 1.922 states/eV per cell
- Energy relative to the elements: -0.667 eV/atom
- Size of the total moment: 0.00 μB/atom



(3)
A relaxed structure of MnHgCl, computed with PBE.

a = 7.5103 Å, b = 7.1968 Å, c = 3.3701 Å
α = 82.01°, β = 71.61°, γ = 26.38°
Last column: nearest neighbours and their distance in Å.
Sites, in units of the cell vectors:
Mn: 0.0000 0.0000 0.0000  2 Cl 2.41
Hg: 0.6505 0.6505 0.3495  2 Mn 2.79
Cl: 0.3879 0.3879 0.6121  2 Mn 2.41

Summary:
- Energy above the most stable polymorph in this dataset: 9.5 kJ/mol of atoms
- Density: 6.690 g cm⁻³
- D(E_F): 1.394 states/eV per cell
- Size of the total moment: 1.47 μB/atom
- Uncorrected formation energy: -0.114 eV per atom



(4)
A relaxed structure of Rb2VIN, computed with PBE.

a = 7.0382 Å, b = 7.0382 Å, c = 4.2458 Å
α = 90.00°, β = 90.00°, γ = 90.00°
Last column: nearest neighbours and their distance in Å.
Sites, in units of the cell vectors:
Rb: 0.0000 0.5000 0.0000  2 I 3.52
Rb: 0.5000 0.0000 0.0000  2 I 3.52
V: 0.0000 0.0000 0.5000  8 Rb 4.11, 2 V 4.25
I: 0.5000 0.5000 0.0000  2 N 2.12
N: 0.5000 0.5000 0.5000  2 I 2.12

Summary:
- Density: 2.864 g cm⁻³
- D(E_F): 11.372 states/eV per cell
- Size of the total moment: 0.76 μB/atom
- Uncorrected formation energy: 1.206 eV per atom